Entry 1:
This record from the Alexandria database describes a geometry-optimized MgMn2Tc structure. The functional is GGA-PBE.

Cell and atoms, written as POSCAR:
```
MgMn2Tc
1.0
1.6230 -2.1757 0.0000
1.6230 2.1757 0.0000
0.0000 0.0000 8.4062
Mg Mn Tc
1 2 1
Direct
0.0000 0.0000 0.0000 Mg
0.5000 0.5000 0.2708 Mn
0.5000 0.5000 0.7292 Mn
0.0000 0.0000 0.5000 Tc
```

## Properties
Raw total energy ... -29.191 eV/cell
Space group ... No. 65



Entry 2:
This record from the Alexandria database describes a geometry-optimized NaTb2Co structure. The functional is GGA-PBE.

Cell and atoms, written as POSCAR:
```
NaTb2Co
1.0
1.9112 1.1034 10.3051
-1.9112 1.1034 10.3051
0.0000 -2.2068 10.3051
Na Tb Co
1 2 1
Direct
0.0000 0.0000 0.0000 Na
0.1198 0.1198 0.1198 Tb
0.8802 0.8802 0.8802 Tb
0.5000 0.5000 0.5000 Co
```

## Properties
Polymorph energy (0 for the lowest one) ... 5.4 kJ per mole of atoms
Space group ... No. 166